# 1
First-principles (GGA-PBE) data for a relaxed structure of NaCuAuF6, as listed in the Alexandria database.

## Properties
DFT total energy	-3.76	eV/atom
total moment	0.0	μB/f.u.
space-group type	No. 163
ΔE_f (raw)	-1339	kJ/mol of formula units

Cell lengths 5.4409, 5.4409, 9.3645 Å; angles 90.00, 90.00, 120.00 degrees
Last column: nearest neighbours and their distance in Å.
Positions (direct):
Na1 0.3333 0.6667 0.2500  6 F 2.33
Na2 0.6667 0.3333 0.7500  6 F 2.33
Cu1 0.6667 0.3333 0.2500  6 F 1.99
Cu2 0.3333 0.6667 0.7500  6 F 1.99
Au1 0.0000 0.0000 0.0000  6 F 2.17
Au2 0.0000 0.0000 0.5000  6 F 2.17
F1 0.6957 0.6464 0.1288  1 Cu 1.99, 1 Au 2.17
F2 0.9507 0.3043 0.1288  1 Cu 1.99, 1 Au 2.17
F3 0.3043 0.9507 0.6288  1 Cu 1.99, 1 Au 2.17
F4 0.0493 0.6957 0.8712  1 Cu 1.99, 1 Au 2.17
F5 0.3536 0.3043 0.3712  1 Cu 1.99, 1 Au 2.17
F6 0.9507 0.6464 0.3712  1 Cu 1.99, 1 Au 2.17
F7 0.6464 0.9507 0.8712  1 Cu 1.99, 1 Au 2.17
F8 0.6957 0.0493 0.3712  1 Cu 1.99, 1 Au 2.17
F9 0.0493 0.3536 0.6288  1 Cu 1.99, 1 Au 2.17
F10 0.3536 0.0493 0.1288  1 Cu 1.99, 1 Au 2.17
F11 0.6464 0.6957 0.6288  1 Cu 1.99, 1 Au 2.17
F12 0.3043 0.3536 0.8712  1 Cu 1.99, 1 Au 2.17


# 2
First-principles (GGA-PBE) data for a relaxed structure of CuAuO2F, as listed in the Alexandria database.

## Properties
DFT total energy	-3.55	eV/atom
total moment	0.5	μB/f.u.
space-group type	No. 123
ΔE_f (raw)	134	kJ/mol of formula units

Cell lengths 4.0428, 4.0428, 4.2597 Å; angles 90.00, 90.00, 90.00 degrees
Last column: nearest neighbours and their distance in Å.
Positions (direct):
Au1 0.0000 0.0000 0.0000  4 O 2.02, 2 F 2.13
O1 0.0000 0.5000 0.0000  2 Au 2.02
O2 0.5000 0.0000 0.0000  2 Au 2.02
Cu1 0.5000 0.5000 0.5000  4 F 2.86, 8 O 2.94
F1 0.0000 0.0000 0.5000  2 Au 2.13


# 3
First-principles (GGA-PBE) data for a relaxed structure of CuAuO2F, as listed in the Alexandria database.

## Properties
DFT total energy	-3.74	eV/atom
total moment	1.6	μB/f.u.
space-group type	No. 123
ΔE_f (raw)	46	kJ/mol of formula units

Cell lengths 3.5722, 5.6688, 3.5722 Å; angles 90.00, 90.00, 90.00 degrees
Last column: nearest neighbours and their distance in Å.
Positions (direct):
Au1 0.0000 0.5000 0.0000  4 F 2.53
O1 0.0000 0.0000 0.5000  2 Cu 1.79
O2 0.5000 0.0000 0.0000  2 Cu 1.79
Cu1 0.0000 0.0000 0.0000  4 O 1.79
F1 0.5000 0.5000 0.5000  4 Au 2.53


# 4
First-principles (GGA-PBE) data for a relaxed structure of Cu2AuOF, as listed in the Alexandria database.

## Properties
DFT total energy	-3.40	eV/atom
total moment	0.0	μB/f.u.
space-group type	No. 123
ΔE_f (raw)	128	kJ/mol of formula units

Cell lengths 3.7569, 4.8555, 3.7569 Å; angles 90.00, 90.00, 90.00 degrees
Last column: nearest neighbours and their distance in Å.
Positions (direct):
Au1 0.5000 0.5000 0.5000  4 O 2.66
O1 0.0000 0.5000 0.0000  2 F 2.43, 4 Au 2.66
Cu1 0.0000 0.0000 0.5000  2 F 1.88
Cu2 0.5000 0.0000 0.0000  2 F 1.88
F1 0.0000 0.0000 0.0000  4 Cu 1.88


# 5
First-principles (GGA-PBE) data for a relaxed structure of CuAuO2F, as listed in the Alexandria database.

## Properties
DFT total energy	-3.87	eV/atom
total moment	0.0	μB/f.u.
space-group type	No. 123
ΔE_f (raw)	-19	kJ/mol of formula units

Cell lengths 3.8857, 3.8857, 3.8069 Å; angles 90.00, 90.00, 90.00 degrees
Last column: nearest neighbours and their distance in Å.
Positions (direct):
Au1 0.5000 0.5000 0.5000  8 O 2.72, 4 F 2.75
O1 0.0000 0.5000 0.0000  2 Cu 1.94
O2 0.5000 0.0000 0.0000  2 Cu 1.94
Cu1 0.0000 0.0000 0.0000  2 F 1.90, 4 O 1.94
F1 0.0000 0.0000 0.5000  2 Cu 1.90


# 6
First-principles (GGA-PBE) data for a relaxed structure of CuPdAu2F8, as listed in the Alexandria database.

## Properties
DFT total energy	-3.51	eV/atom
total moment	1.1	μB/f.u.
space-group type	No. 119
ΔE_f (raw)	-1088	kJ/mol of formula units

Cell lengths 6.1769, 6.1769, 6.1769 Å; angles 116.74, 116.74, 95.75 degrees
Last column: nearest neighbours and their distance in Å.
Positions (direct):
Cu1 0.2500 0.7500 0.5000  4 F 1.89
Pd1 0.0000 0.0000 0.0000  4 F 1.99
Au1 0.7500 0.2500 0.5000  4 F 2.26
Au2 0.5000 0.5000 0.0000  4 F 2.24
F1 0.3284 0.0229 0.3055  1 Pd 1.99
F2 0.2858 0.4972 0.2114  1 Cu 1.89
F3 0.2858 0.0744 0.7886  1 Cu 1.89
F4 0.7173 0.0229 0.6945  1 Pd 1.99
F5 0.9256 0.7142 0.2114  1 Cu 1.89
F6 0.9771 0.2827 0.3055  1 Pd 1.99
F7 0.9771 0.6716 0.6945  1 Pd 1.99
F8 0.5028 0.7142 0.7886  1 Cu 1.89


Look up the DFT total energy of the fourth one.
-3.40 eV/atom


Which of these has the highest DFT total energy?
Cu2AuOF